Entry 1:
Material: PrDy2Tm5Th
Method: DFT, PBE
State: relaxed

**Formation energy from the elements**: 310.6 meV/atom
**Total magnetic moment**: 0.00 Bohr magnetons per cell

```
PrDy2Tm5Th
1.0
-4.3534 4.3534 7.5020
4.3534 -4.3534 7.5020
4.3534 4.3534 -7.5020
Pr Dy Tm Th
2 4 10 2
direct
0.2500 0.7500 0.5000 Pr
0.7500 0.2500 0.5000 Pr
0.1149 0.6149 0.7299 Dy
0.3851 0.1149 0.5000 Dy
0.6149 0.8851 0.5000 Dy
0.8851 0.3851 0.2701 Dy
0.0000 0.0000 0.0000 Tm
0.0730 0.1561 0.5000 Tm
0.1561 0.6561 0.0830 Tm
0.3439 0.4270 0.5000 Tm
0.4270 0.9270 0.0830 Tm
0.5000 0.5000 0.0000 Tm
0.5730 0.0730 0.9170 Tm
0.6561 0.5730 0.5000 Tm
0.8439 0.3439 0.9170 Tm
0.9270 0.8439 0.5000 Tm
0.2500 0.2500 0.0000 Th
0.7500 0.7500 0.0000 Th
```

***

Entry 2:
Material: AcSm2Er
Method: DFT, PBE
State: relaxed

**Formation energy from the elements**: 169.6 meV/atom
**Total magnetic moment**: 0.00 Bohr magnetons per cell
**Relative energy among the computed polymorphs**: 125.6 meV/atom

```
AcSm2Er
1.0
1.8059 1.0426 12.7973
-1.8059 1.0426 12.7973
0.0000 -2.0853 12.7973
Ac Sm Er
1 2 1
direct
0.0000 0.0000 0.0000 Ac
0.0928 0.0928 0.0928 Sm
0.9072 0.9072 0.9072 Sm
0.5000 0.5000 0.5000 Er
```

***

Entry 3:
Material: TlCu2AgCl6
Method: DFT, PBE
State: relaxed

**E_form (uncorrected)**: -0.56 eV per atom
**Total magnetic moment**: 0.00 Bohr magnetons per cell

```
TlCu2AgCl6
1.0
6.4124 -6.1878 0.0000
6.4124 6.1878 0.0000
-1.3776 0.0000 6.5829
Tl Cu Ag Cl
2 4 2 12
direct
0.0995 0.9005 0.7500 Tl
0.9005 0.0995 0.2500 Tl
0.2325 0.3974 0.7237 Cu
0.3974 0.2325 0.2237 Cu
0.6026 0.7675 0.7763 Cu
0.7675 0.6026 0.2763 Cu
0.3079 0.6921 0.2500 Ag
0.6921 0.3079 0.7500 Ag
0.0441 0.2205 0.6533 Cl
0.1542 0.6134 0.9030 Cl
0.2205 0.0441 0.1533 Cl
0.2887 0.4316 0.4087 Cl
0.3866 0.8458 0.5970 Cl
0.4316 0.2887 0.9087 Cl
0.5684 0.7113 0.0913 Cl
0.6134 0.1542 0.4030 Cl
0.7113 0.5684 0.5913 Cl
0.7795 0.9559 0.8467 Cl
0.8458 0.3866 0.0970 Cl
0.9559 0.7795 0.3467 Cl
```

***

So what do the calculations give for raw total energy? Going down the list: -4.55 -4.36 -3.01 eV/atom.